# PBE ThMg6Hg2, relaxed
data_ThMg6Hg2
_chemical_formula_sum 'Th1 Mg6 Hg2'
_space_group_name_H-M_alt 'P 4/m m m'
_space_group_IT_number 123
_space_group_name_Hall '-P 4 2'
_cell_length_a 4.458
_cell_length_b 4.458
_cell_length_c 10.792
_cell_angle_alpha 90.00
_cell_angle_beta 90.00
_cell_angle_gamma 90.00
loop_
_atom_site_label
_atom_site_fract_x
_atom_site_fract_y
_atom_site_fract_z
Th1 0.000 0.000 0.000
Mg1 0.000 0.000 0.500
Mg2 0.000 0.500 0.288
Mg3 0.500 0.500 0.500
Hg1 0.500 0.500 0.130
# Crystal system ... tetragonal
# DFT total energy ... -18.46 eV/cell